# ScMnPbO4, relaxed, DFT PBE with a Hubbard U
data_ScMnPbO4
_chemical_formula_sum 'Sc2 Mn2 Pb2 O8'
_cell_length_a 5.7928
_cell_length_b 5.5996
_cell_length_c 6.9194
_cell_angle_alpha 90.00
_cell_angle_beta 110.37
_cell_angle_gamma 90.00
_space_group_name_H-M_alt 'P 1'
_space_group_IT_number 1
_space_group_name_Hall 'P 1'
loop_
_atom_site_label
_atom_site_type_symbol
_atom_site_fract_x
_atom_site_fract_y
_atom_site_fract_z
Sc1 Sc 0.1804 0.2500 0.0343
Sc2 Sc 0.8196 0.7500 0.9657
Mn1 Mn 0.2621 0.7500 0.8296
Mn2 Mn 0.7379 0.2500 0.1704
Pb1 Pb 0.2919 0.2500 0.5541
Pb2 Pb 0.7081 0.7500 0.4459
O1 O 0.0172 0.5199 0.8147
O2 O 0.0172 0.9801 0.8147
O3 O 0.4626 0.2500 0.9108
O4 O 0.4923 0.7500 0.6754
O5 O 0.5077 0.2500 0.3246
O6 O 0.5374 0.7500 0.0891
O7 O 0.9828 0.0199 0.1853
O8 O 0.9828 0.4801 0.1853
# VASP energy	-100.90	eV/cell
# N(E_F)	2.7	states/eV/cell
# total magnetic moment	0.571	μB per atom